one:
Entry from OQMD: crystalline FeGePtW at its relaxed geometry (GGA-PBE).

## Properties
Crystal system: cubic
M_tot in Bohr magnetons per cell: 1.23
Space group: F-43m

Cell lengths 4.384, 4.384, 4.384 Å; angles 60.00, 60.00, 60.00 degrees
Atoms (fractional coordinates):
Fe 0.000 0.000 0.000
Ge 0.750 0.750 0.750
Pt 0.500 0.500 0.500
W 0.250 0.250 0.250


two:
Entry from OQMD: crystalline FeGePtW at its relaxed geometry (GGA-PBE).

## Properties
Crystal system: cubic
M_tot in Bohr magnetons per cell: 1.30
Space group: F-43m

Cell lengths 4.359, 4.359, 4.359 Å; angles 60.00, 60.00, 60.00 degrees
Atoms (fractional coordinates):
Fe 0.000 0.000 0.000
Ge 0.750 0.750 0.750
Pt 0.250 0.250 0.250
W 0.500 0.500 0.500


Tell me which of them is the least stable. Sure, it is one.


one:
Entry from OQMD: crystalline ZnFeGePt at its relaxed geometry (GGA-PBE).

## Properties
Crystal system: cubic
M_tot in Bohr magnetons per cell: 1.95
Space group: F-43m

Cell lengths 4.302, 4.302, 4.302 Å; angles 60.00, 60.00, 60.00 degrees
Atoms (fractional coordinates):
Zn 0.000 0.000 0.000
Fe 0.750 0.750 0.750
Ge 0.500 0.500 0.500
Pt 0.250 0.250 0.250


two:
Entry from OQMD: crystalline ZnFeGePt at its relaxed geometry (GGA-PBE).

## Properties
Crystal system: cubic
M_tot in Bohr magnetons per cell: 2.65
Space group: F-43m

Cell lengths 4.368, 4.368, 4.368 Å; angles 60.00, 60.00, 60.00 degrees
Atoms (fractional coordinates):
Zn 0.000 0.000 0.000
Fe 0.500 0.500 0.500
Ge 0.250 0.250 0.250
Pt 0.750 0.750 0.750


Tell me which of them is the least stable. Sure, it is two.


one:
Entry from OQMD: crystalline ZrFeGePt at its relaxed geometry (GGA-PBE).

## Properties
Crystal system: cubic
M_tot in Bohr magnetons per cell: 1.86
Space group: F-43m

Cell lengths 4.491, 4.491, 4.491 Å; angles 60.00, 60.00, 60.00 degrees
Atoms (fractional coordinates):
Zr 0.000 0.000 0.000
Fe 0.750 0.750 0.750
Ge 0.500 0.500 0.500
Pt 0.250 0.250 0.250


two:
Entry from OQMD: crystalline ZrFeGePt at its relaxed geometry (GGA-PBE).

## Properties
Crystal system: cubic
M_tot in Bohr magnetons per cell: 2.58
Space group: F-43m

Cell lengths 4.540, 4.540, 4.540 Å; angles 60.00, 60.00, 60.00 degrees
Atoms (fractional coordinates):
Zr 0.000 0.000 0.000
Fe 0.500 0.500 0.500
Ge 0.250 0.250 0.250
Pt 0.750 0.750 0.750


Tell me which of them is the least stable. Sure, it is two.


one:
Entry from OQMD: crystalline RbFeGeTe3 at its relaxed geometry (GGA-PBE).

## Properties
Crystal system: monoclinic
M_tot in Bohr magnetons per cell: 5.75
Space group: P2_1/m

Cell lengths 9.307, 3.809, 11.694 Å; angles 90.00, 108.02, 90.00 degrees
Atoms (fractional coordinates):
Rb 0.060 0.250 0.274
Rb 0.940 0.750 0.726
Fe 0.491 0.750 0.901
Fe 0.509 0.250 0.099
Ge 0.432 0.250 0.562
Ge 0.568 0.750 0.438
Te 0.224 0.750 0.561
Te 0.291 0.250 0.897
Te 0.381 0.750 0.204
Te 0.619 0.250 0.796
Te 0.709 0.750 0.103
Te 0.776 0.250 0.439


two:
Entry from OQMD: crystalline RbFeGeTe3 at its relaxed geometry (GGA-PBE).

## Properties
Crystal system: orthorhombic
M_tot in Bohr magnetons per cell: 9.52
Space group: Cmcm

Cell lengths 8.450, 8.450, 11.549 Å; angles 90.00, 90.00, 150.14 degrees
Atoms (fractional coordinates):
Rb 0.244 0.756 0.750
Rb 0.756 0.244 0.250
Fe 0.043 0.957 0.250
Fe 0.957 0.043 0.750
Ge 0.500 0.500 0.000
Ge 0.500 0.500 0.500
Te 0.121 0.879 0.059
Te 0.121 0.879 0.441
Te 0.449 0.551 0.250
Te 0.551 0.449 0.750
Te 0.879 0.121 0.559
Te 0.879 0.121 0.941


Tell me which of them is the least stable. Sure, it is two.


one:
Entry from OQMD: crystalline YFeReGe at its relaxed geometry (GGA-PBE).

## Properties
Crystal system: cubic
M_tot in Bohr magnetons per cell: 1.95
Space group: F-43m

Cell lengths 4.516, 4.516, 4.516 Å; angles 60.00, 60.00, 60.00 degrees
Atoms (fractional coordinates):
Y 0.000 0.000 0.000
Fe 0.750 0.750 0.750
Re 0.250 0.250 0.250
Ge 0.500 0.500 0.500


two:
Entry from OQMD: crystalline YFeReGe at its relaxed geometry (GGA-PBE).

## Properties
Crystal system: cubic
M_tot in Bohr magnetons per cell: 3.88
Space group: F-43m

Cell lengths 4.622, 4.622, 4.622 Å; angles 60.00, 60.00, 60.00 degrees
Atoms (fractional coordinates):
Y 0.000 0.000 0.000
Fe 0.500 0.500 0.500
Re 0.750 0.750 0.750
Ge 0.250 0.250 0.250


Tell me which of them is the least stable. Sure, it is two.


one:
Entry from OQMD: crystalline ZrFeReGe at its relaxed geometry (GGA-PBE).

## Properties
Crystal system: cubic
M_tot in Bohr magnetons per cell: 0.95
Space group: F-43m

Cell lengths 4.417, 4.417, 4.417 Å; angles 60.00, 60.00, 60.00 degrees
Atoms (fractional coordinates):
Zr 0.000 0.000 0.000
Fe 0.750 0.750 0.750
Re 0.250 0.250 0.250
Ge 0.500 0.500 0.500


two:
Entry from OQMD: crystalline ZrFeReGe at its relaxed geometry (GGA-PBE).

## Properties
Crystal system: cubic
M_tot in Bohr magnetons per cell: 3.81
Space group: F-43m

Cell lengths 4.501, 4.501, 4.501 Å; angles 60.00, 60.00, 60.00 degrees
Atoms (fractional coordinates):
Zr 0.000 0.000 0.000
Fe 0.500 0.500 0.500
Re 0.750 0.750 0.750
Ge 0.250 0.250 0.250


Tell me which of them is the least stable. Sure, it is two.